! LiCu2Rh, relaxed, DFT PBE; values from VASP
&SYSTEM
  ibrav = 0, nat = 4, ntyp = 3
/
ATOMIC_SPECIES
Cu 63.55 Cu.upf
Li 6.94 Li.upf
Rh 102.91 Rh.upf
ATOMIC_POSITIONS crystal
Cu 0.000 0.000 0.004
Cu 0.500 0.500 0.245
Li 0.000 0.000 0.501
Rh 0.500 0.500 0.750
CELL_PARAMETERS angstrom
2.591 0.019 0.000
-1.114 2.340 0.000
0.000 0.000 8.627
! - total energy (eV/atom) = -4.3451
! - space-group type = No. 35
! - crystal system = orthorhombic
! - spin magnetization (μB/f.u.) = 0.33

=====

! LiCu2Rh, relaxed, DFT PBE; values from VASP
&SYSTEM
  ibrav = 0, nat = 4, ntyp = 3
/
ATOMIC_SPECIES
Rh 102.91 Rh.upf
Cu 63.55 Cu.upf
Li 6.94 Li.upf
ATOMIC_POSITIONS crystal
Rh 0.500 0.500 0.750
Cu 0.000 0.000 0.997
Cu 0.000 0.000 0.503
Li 0.500 0.500 0.250
CELL_PARAMETERS angstrom
-1.300 -2.204 0.133
2.619 -1.388 2.588
-2.800 1.883 3.842
! - total energy (eV/atom) = -4.3915
! - space-group type = No. 47
! - crystal system = orthorhombic
! - spin magnetization (μB/f.u.) = 0.20

=====

! LiCu3Rh, relaxed, DFT PBE; values from VASP
&SYSTEM
  ibrav = 0, nat = 5, ntyp = 3
/
ATOMIC_SPECIES
Rh 102.91 Rh.upf
Cu 63.55 Cu.upf
Li 6.94 Li.upf
ATOMIC_POSITIONS crystal
Rh 0.500 0.500 0.500
Cu 0.000 0.500 0.000
Cu 0.000 0.000 0.500
Cu 0.500 0.000 0.000
Li 0.000 0.000 0.000
CELL_PARAMETERS angstrom
-1.950 -3.481 -0.016
3.478 -1.948 -0.164
0.135 -0.094 3.986
! - space-group type = No. 221
! - crystal system = cubic
! - offset from the most stable computed form (eV/atom) = 0.594
! - spin magnetization (μB/f.u.) = 0.00

=====

! Li3Cu3Rh2, relaxed, DFT PBE; values from VASP
&SYSTEM
  ibrav = 0, nat = 8, ntyp = 3
/
ATOMIC_SPECIES
Li 6.94 Li.upf
Cu 63.55 Cu.upf
Rh 102.91 Rh.upf
ATOMIC_POSITIONS crystal
Li 0.500 0.500 0.744
Li 0.500 0.500 0.256
Li 0.500 0.000 0.000
Cu 0.500 0.000 0.500
Cu 0.000 0.500 0.000
Cu 0.000 0.500 0.500
Rh 0.000 0.000 0.751
Rh 0.000 0.000 0.249
CELL_PARAMETERS angstrom
-2.534 -0.747 3.315
-2.877 -1.739 -2.591
2.459 -5.144 0.721
! - total energy (eV/atom) = -4.2012
! - space-group type = No. 47
! - crystal system = orthorhombic
! - spin magnetization (μB/f.u.) = 0.00

=====

! Li4Cu2Rh, relaxed, DFT PBE; values from VASP
&SYSTEM
  ibrav = 0, nat = 14, ntyp = 3
/
ATOMIC_SPECIES
Li 6.94 Li.upf
Cu 63.55 Cu.upf
Rh 102.91 Rh.upf
ATOMIC_POSITIONS crystal
Li 0.762 0.659 0.000
Li 0.750 0.595 0.500
Li 0.750 0.095 0.500
Li 0.738 0.159 0.000
Li 0.262 0.841 0.000
Li 0.250 0.905 0.500
Li 0.250 0.405 0.500
Li 0.238 0.341 0.000
Cu 0.000 0.664 0.327
Cu 0.000 0.336 0.673
Cu 0.500 0.836 0.673
Cu 0.500 0.164 0.327
Rh 0.000 0.000 0.000
Rh 0.500 0.500 0.000
CELL_PARAMETERS angstrom
4.489 0.000 0.000
0.000 12.499 -5.783
0.000 -4.687 6.267
! - space-group type = No. 64
! - crystal system = orthorhombic
! - offset from the most stable computed form (eV/atom) = 0.000
! - spin magnetization (μB/f.u.) = 0.00

=====

! Li6CuRh, relaxed, DFT PBE; values from VASP
&SYSTEM
  ibrav = 0, nat = 8, ntyp = 3
/
ATOMIC_SPECIES
Li 6.94 Li.upf
Cu 63.55 Cu.upf
Rh 102.91 Rh.upf
ATOMIC_POSITIONS crystal
Li 0.000 0.744 0.256
Li 0.000 0.256 0.744
Li 0.000 0.744 0.744
Li 0.000 0.256 0.256
Li 0.500 0.500 0.000
Li 0.500 0.000 0.500
Cu 0.500 0.000 0.000
Rh 0.500 0.500 0.500
CELL_PARAMETERS angstrom
3.218 0.000 0.000
0.000 5.979 -0.038
0.000 0.038 5.979
! - space-group type = No. 123
! - crystal system = tetragonal
! - offset from the most stable computed form (eV/atom) = 0.000
! - spin magnetization (μB/f.u.) = 0.00

=====

spin magnetization of number 5 (Li4Cu2Rh)?
0.00 μB/f.u.

=====

Look up the spin magnetization of the second one.
0.20 μB/f.u.

=====

Copy entry 4 word for word.
! Li3Cu3Rh2, relaxed, DFT PBE; values from VASP
&SYSTEM
  ibrav = 0, nat = 8, ntyp = 3
/
ATOMIC_SPECIES
Li 6.94 Li.upf
Cu 63.55 Cu.upf
Rh 102.91 Rh.upf
ATOMIC_POSITIONS crystal
Li 0.500 0.500 0.744
Li 0.500 0.500 0.256
Li 0.500 0.000 0.000
Cu 0.500 0.000 0.500
Cu 0.000 0.500 0.000
Cu 0.000 0.500 0.500
Rh 0.000 0.000 0.751
Rh 0.000 0.000 0.249
CELL_PARAMETERS angstrom
-2.534 -0.747 3.315
-2.877 -1.739 -2.591
2.459 -5.144 0.721
! - total energy (eV/atom) = -4.2012
! - space-group type = No. 47
! - crystal system = orthorhombic
! - spin magnetization (μB/f.u.) = 0.00